A plane-wave DFT calculation with PBE-GGA was carried out for a geometry-optimized La2MnTe structure.

abc: 4.517 4.368 11.823
angles: 90.00 90.00 90.00
Space group Amm2 (No. 38)
Inequivalent atoms, fractional coordinates:
La: 0.000 0.000 0.000 x2
La: 0.500 0.000 0.289 x2
Mn: 0.500 0.000 0.556 x2
Te: 0.000 0.000 0.713 x2

volume: 29.2 Å³/atom
formation energy (no corrections): -546 meV/atom
calculated total energy: -48.7 eV/cell
theoretical density: 6.554 g cm⁻³